First-principles (SCAN) data for a crystal of TlPt2Au relaxed with PBEsol, as listed in Alexandria via LeMat-Bulk.

The calculation puts the density at 19.39 g/cm3. For the formation energy, the calculation gives 0.1 eV/f.u. The total magnetic moment comes out at 0.000 μB/cell. The value obtained for the total energy is -281.8 eV per formula unit.

The structure belongs to space group P4/mmm (No. 123); the cell edges are 4.143, 4.143 and 3.949 Å and the angles 90.00°, 90.00° and 90.00°. Symmetry generates all atoms from Tl at (0.000, 0.000, 0.000), Pt at (0.000, 0.500, 0.500) and Au at (0.500, 0.500, 0.000).